1.
# LiY2Ir, single point on PBEsol structure, DFT SCAN
data_LiY2Ir
_space_group_name_H-M_alt 'F -4 3 m'
_space_group_IT_number 216
_space_group_name_Hall 'F -4 2 3'
_cell_length_a 6.740
_cell_length_b 6.740
_cell_length_c 6.740
_cell_angle_alpha 90.00
_cell_angle_beta 90.00
_cell_angle_gamma 90.00
loop_
_atom_site_label
_atom_site_fract_x
_atom_site_fract_y
_atom_site_fract_z
_atom_site_occupancy
Li1 0.000 0.000 0.000 1
Y1 0.000 0.000 0.500 1
Y2 0.250 0.250 0.750 1
Ir1 0.250 0.250 0.250 1
# Calculated volume   19.13 Å³/atom
# Total magnetic moment   0.0 Bohr magnetons per cell
# Formation enthalpy at 0 K   -0.259 eV/atom

2.
# Sc3GeSe, single point on PBEsol structure, DFT SCAN
data_Sc3GeSe
_space_group_name_H-M_alt 'P m -3 m'
_space_group_IT_number 221
_space_group_name_Hall '-P 4 2 3'
_cell_length_a 4.983
_cell_length_b 4.983
_cell_length_c 4.983
_cell_angle_alpha 90.00
_cell_angle_beta 90.00
_cell_angle_gamma 90.00
loop_
_atom_site_label
_atom_site_fract_x
_atom_site_fract_y
_atom_site_fract_z
_atom_site_occupancy
Sc1 0.000 0.000 0.500 1
Ge1 0.000 0.000 0.000 1
Se1 0.500 0.500 0.500 1
# Calculated volume   24.75 Å³/atom
# Total magnetic moment   0.0 Bohr magnetons per cell
# Energy relative to the elements, uncorrected   -0.289 eV per atom

3.
# BaLi2Hg2, single point on PBEsol structure, DFT SCAN
data_BaLi2Hg2
_space_group_name_H-M_alt 'I 4/m m m'
_space_group_IT_number 139
_space_group_name_Hall '-I 4 2'
_cell_length_a 4.351
_cell_length_b 4.351
_cell_length_c 13.654
_cell_angle_alpha 90.00
_cell_angle_beta 90.00
_cell_angle_gamma 90.00
loop_
_atom_site_label
_atom_site_fract_x
_atom_site_fract_y
_atom_site_fract_z
_atom_site_occupancy
Ba1 0.000 0.000 0.000 1
Li1 0.000 0.500 0.250 1
Hg1 0.000 0.000 0.378 1
# Calculated volume   25.84 Å³/atom
# Total magnetic moment   0.0 Bohr magnetons per cell
# Formation enthalpy at 0 K   -0.501 eV/atom

4.
# AlAsRhSe2, single point on PBEsol structure, DFT SCAN
data_AlAsRhSe2
_space_group_name_H-M_alt 'P 4/m m m'
_space_group_IT_number 123
_space_group_name_Hall '-P 4 2'
_cell_length_a 4.997
_cell_length_b 4.997
_cell_length_c 4.491
_cell_angle_alpha 90.00
_cell_angle_beta 90.00
_cell_angle_gamma 90.00
loop_
_atom_site_label
_atom_site_fract_x
_atom_site_fract_y
_atom_site_fract_z
_atom_site_occupancy
Al1 0.000 0.000 0.000 1
As1 0.500 0.500 0.000 1
Rh1 0.500 0.500 0.500 1
Se1 0.000 0.500 0.500 1
# Calculated volume   22.43 Å³/atom
# Total magnetic moment   0.0 Bohr magnetons per cell
# Energy relative to the elements, uncorrected   0.393 eV per atom

5.
# SrCa5Mn4Ga2O16, single point on PBEsol structure, DFT SCAN
data_SrCa5Mn4Ga2O16
_space_group_name_H-M_alt 'P 1 m 1'
_space_group_IT_number 6
_cell_length_a 5.333
_cell_length_b 10.961
_cell_length_c 5.504
_cell_angle_alpha 90.00
_cell_angle_beta 90.04
_cell_angle_gamma 90.00
loop_
_space_group_symop_operation_xyz
'x,y,z'
'x,-y,z'
loop_
_atom_site_label
_atom_site_fract_x
_atom_site_fract_y
_atom_site_fract_z
_atom_site_occupancy
Sr1 0.000 0.000 0.000 1
Ca1 0.486 0.307 0.470 1
Ca2 0.504 0.000 0.487 1
Ca3 0.984 0.309 0.027 1
Mn1 0.497 0.171 0.991 1
Mn2 0.998 0.171 0.503 1
Ga1 0.445 0.500 0.924 1
Ga2 0.945 0.500 0.571 1
O1 0.025 0.354 0.430 1
O2 0.092 0.500 0.881 1
O3 0.241 0.197 0.756 1
O4 0.253 0.155 0.252 1
O5 0.499 0.000 0.925 1
O6 0.525 0.354 0.065 1
O7 0.593 0.500 0.614 1
O8 0.743 0.196 0.742 1
O9 0.744 0.155 0.251 1
O10 0.998 0.000 0.549 1
# Calculated volume   11.49 Å³/atom
# Total magnetic moment   14.0 Bohr magnetons per cell
# Energy relative to the elements, uncorrected   -2.698 eV per atom

6.
# Mn2FeSb, single point on PBEsol structure, DFT SCAN
data_Mn2FeSb
_space_group_name_H-M_alt 'P 4 m m'
_space_group_IT_number 99
_cell_length_a 3.178
_cell_length_b 3.178
_cell_length_c 5.347
_cell_angle_alpha 90.00
_cell_angle_beta 90.00
_cell_angle_gamma 90.00
loop_
_space_group_symop_operation_xyz
'x,y,z'
'-y,x,z'
'-x,-y,z'
'y,-x,z'
'-x,y,z'
'y,x,z'
'x,-y,z'
'-y,-x,z'
loop_
_atom_site_label
_atom_site_fract_x
_atom_site_fract_y
_atom_site_fract_z
_atom_site_occupancy
Mn1 0.000 0.000 0.000 1
Mn2 0.500 0.500 0.222 1
Fe1 0.500 0.500 0.779 1
Sb1 0.000 0.000 0.500 1
# Calculated volume   13.50 Å³/atom
# Total magnetic moment   7.3 Bohr magnetons per cell
# Energy relative to the elements, uncorrected   0.192 eV per atom

7.
# LaMg2Co, single point on PBEsol structure, DFT SCAN
data_LaMg2Co
_space_group_name_H-M_alt 'F m -3 m'
_space_group_IT_number 225
_space_group_name_Hall '-F 4 2 3'
_cell_length_a 6.946
_cell_length_b 6.946
_cell_length_c 6.946
_cell_angle_alpha 90.00
_cell_angle_beta 90.00
_cell_angle_gamma 90.00
loop_
_atom_site_label
_atom_site_fract_x
_atom_site_fract_y
_atom_site_fract_z
_atom_site_occupancy
La1 0.000 0.000 0.000 1
Mg1 0.250 0.250 0.250 1
Co1 0.000 0.000 0.500 1
# Calculated volume   20.95 Å³/atom
# Total magnetic moment   7.3 Bohr magnetons per cell
# Formation enthalpy at 0 K   0.260 eV/atom

8.
# Sm2Ge5Pt3, single point on PBEsol structure, DFT SCAN
data_Sm2Ge5Pt3
_space_group_name_H-M_alt 'I b a m'
_space_group_IT_number 72
_space_group_name_Hall '-I 2 2c'
_cell_length_a 10.150
_cell_length_b 11.713
_cell_length_c 6.233
_cell_angle_alpha 90.00
_cell_angle_beta 90.00
_cell_angle_gamma 90.00
loop_
_atom_site_label
_atom_site_fract_x
_atom_site_fract_y
_atom_site_fract_z
_atom_site_occupancy
Sm1 0.228 0.131 0.000 1
Ge1 0.000 0.000 0.250 1
Ge2 0.000 0.273 0.250 1
Ge3 0.156 0.395 0.000 1
Pt1 0.000 0.500 0.250 1
Pt2 0.110 0.139 0.500 1
# Calculated volume   18.53 Å³/atom
# Total magnetic moment   0.0 Bohr magnetons per cell
# Formation enthalpy at 0 K   -1.002 eV/atom

9.
# MnTcTe, single point on PBEsol structure, DFT SCAN
data_MnTcTe
_space_group_name_H-M_alt 'P 3 m 1'
_space_group_IT_number 156
_cell_length_a 4.2264
_cell_length_b 4.2264
_cell_length_c 2.9987
_cell_angle_alpha 90.00
_cell_angle_beta 90.00
_cell_angle_gamma 120.00
loop_
_space_group_symop_operation_xyz
'x,y,z'
'-y,x-y,z'
'-x+y,-x,z'
'-y,-x,z'
'-x+y,y,z'
'x,x-y,z'
loop_
_atom_site_label
_atom_site_fract_x
_atom_site_fract_y
_atom_site_fract_z
_atom_site_occupancy
Mn1 0.0000 0.0000 0.0000 1
Tc1 0.3333 0.6667 0.4983 1
Te1 0.6667 0.3333 0.9970 1
# Calculated volume   15.46 Å³/atom
# Total magnetic moment   2.3 Bohr magnetons per cell
# Energy relative to the elements, uncorrected   0.461 eV per atom

10.
# SrAgSe4, single point on PBEsol structure, DFT SCAN
data_SrAgSe4
_space_group_name_H-M_alt 'F -4 3 m'
_space_group_IT_number 216
_space_group_name_Hall 'F -4 2 3'
_cell_length_a 8.190
_cell_length_b 8.190
_cell_length_c 8.190
_cell_angle_alpha 90.00
_cell_angle_beta 90.00
_cell_angle_gamma 90.00
loop_
_atom_site_label
_atom_site_fract_x
_atom_site_fract_y
_atom_site_fract_z
_atom_site_occupancy
Sr1 0.000 0.000 0.000 1
Ag1 0.250 0.250 0.250 1
Se1 0.124 0.124 0.624 1
# Calculated volume   22.89 Å³/atom
# Total magnetic moment   0.0 Bohr magnetons per cell
# Energy relative to the elements, uncorrected   -0.145 eV per atom

11.
# BaRuPt, single point on PBEsol structure, DFT SCAN
data_BaRuPt
_space_group_name_H-M_alt 'F -4 3 m'
_space_group_IT_number 216
_space_group_name_Hall 'F -4 2 3'
_cell_length_a 6.724
_cell_length_b 6.724
_cell_length_c 6.724
_cell_angle_alpha 90.00
_cell_angle_beta 90.00
_cell_angle_gamma 90.00
loop_
_atom_site_label
_atom_site_fract_x
_atom_site_fract_y
_atom_site_fract_z
_atom_site_occupancy
Ba1 0.000 0.000 0.000 1
Ru1 0.000 0.000 0.500 1
Pt1 0.250 0.250 0.750 1
# Calculated volume   25.33 Å³/atom
# Total magnetic moment   10.3 Bohr magnetons per cell
# Formation enthalpy at 0 K   0.678 eV/atom

12.
# EuAg2Ge2, single point on PBEsol structure, DFT SCAN
data_EuAg2Ge2
_space_group_name_H-M_alt 'I 4/m m m'
_space_group_IT_number 139
_space_group_name_Hall '-I 4 2'
_cell_length_a 4.297
_cell_length_b 4.297
_cell_length_c 10.789
_cell_angle_alpha 90.00
_cell_angle_beta 90.00
_cell_angle_gamma 90.00
loop_
_atom_site_label
_atom_site_fract_x
_atom_site_fract_y
_atom_site_fract_z
_atom_site_occupancy
Eu1 0.000 0.000 0.000 1
Ag1 0.000 0.500 0.250 1
Ge1 0.000 0.000 0.388 1
# Calculated volume   19.92 Å³/atom
# Total magnetic moment   13.8 Bohr magnetons per cell
# Formation enthalpy at 0 K   -0.426 eV/atom